SbW | PBE | relaxed

Uncorrected energy: -7.53 eV/atom
Raw formation energy: 97.2 kJ/mol of atoms
Energy relative to the lowest polymorph listed for this composition: 1.47 eV/f.u.
Volume: 19.51 A^3/atom
Total moment: 0.00 μB/cell

Cell lengths 3.1210, 3.1210, 4.3858 Å; angles 90.00, 90.00, 114.05 degrees
Element x y z (fractional)
Sb: 0.0000 0.0000 0.0000
W: 0.5000 0.5000 0.5000

***

Sb3W | PBE | relaxed

Uncorrected energy: -6.01 eV/atom
Raw formation energy: 31.1 kJ/mol of atoms
Energy relative to the lowest polymorph listed for this composition: 0.11 eV/f.u.
Volume: 29.37 A^3/atom
Total moment: 0.00 μB/cell

Cell lengths 8.1463, 8.1463, 4.0310 Å; angles 90.00, 90.00, 118.54 degrees
Element x y z (fractional)
Sb: 0.1451 0.3395 0.2500
Sb: 0.2400 0.7600 0.7500
Sb: 0.3395 0.1451 0.7500
Sb: 0.6605 0.8549 0.2500
Sb: 0.7600 0.2400 0.2500
Sb: 0.8549 0.6605 0.7500
W: 0.0590 0.9410 0.2500
W: 0.9410 0.0590 0.7500

***

> Among the records above, which one has the lowest volume?

SbW

***

> Among the records above, which one has the highest uncorrected energy?

Sb3W

***

Repeat the first record exactly.
SbW | PBE | relaxed

Uncorrected energy: -7.53 eV/atom
Raw formation energy: 97.2 kJ/mol of atoms
Energy relative to the lowest polymorph listed for this composition: 1.47 eV/f.u.
Volume: 19.51 A^3/atom
Total moment: 0.00 μB/cell

Cell lengths 3.1210, 3.1210, 4.3858 Å; angles 90.00, 90.00, 114.05 degrees
Element x y z (fractional)
Sb: 0.0000 0.0000 0.0000
W: 0.5000 0.5000 0.5000

***

> Among the records above, which one has the highest volume?

Sb3W